(1)
First-principles (PBE-GGA) data for a geometry-optimized Mn2ZnMo structure, as listed in Alexandria.

Final energy ... -7.43 eV/atom
Calculated formation energy ... 0.181 eV per atom

The structure in CIF format:
```
data_Mn2ZnMo
_chemical_formula_sum 'Mn2 Zn1 Mo1'
_space_group_name_H-M_alt 'P 1 m 1'
_space_group_IT_number 6
_cell_length_a 2.591
_cell_length_b 4.144
_cell_length_c 5.066
_cell_angle_alpha 90.00
_cell_angle_beta 103.62
_cell_angle_gamma 90.00
loop_
_space_group_symop_operation_xyz
'x,y,z'
'x,-y,z'
loop_
_atom_site_label
_atom_site_fract_x
_atom_site_fract_y
_atom_site_fract_z
Mn1 0.000 0.000 0.000
Mn2 0.263 0.500 0.760
Zn1 0.463 0.000 0.517
Mo1 0.771 0.500 0.242
```

(2)
First-principles (PBE-GGA) data for a geometry-optimized Pm2Pr3Tm5 structure, as listed in Alexandria.

Final energy ... -4.44 eV/atom
Calculated formation energy ... 0.180 eV per atom

The structure in CIF format:
```
data_Pm2Pr3Tm5
_chemical_formula_sum 'Pm8 Pr12 Tm20'
_space_group_name_H-M_alt 'C 1 2/c 1'
_space_group_IT_number 15
_cell_length_a 10.604
_cell_length_b 16.272
_cell_length_c 9.346
_cell_angle_alpha 90.00
_cell_angle_beta 124.50
_cell_angle_gamma 90.00
loop_
_space_group_symop_operation_xyz
'x,y,z'
'-x,-y,-z'
'-x,y,-z+1/2'
'x,-y,z+1/2'
'x+1/2,y+1/2,z'
'-x+1/2,-y+1/2,-z'
'-x+1/2,y+1/2,-z+1/2'
'x+1/2,-y+1/2,z+1/2'
loop_
_atom_site_label
_atom_site_fract_x
_atom_site_fract_y
_atom_site_fract_z
Pm1 0.147 0.119 0.046
Pr1 0.000 0.267 0.750
Pr2 0.149 0.377 0.548
Tm1 0.000 0.027 0.250
Tm2 0.000 0.228 0.250
Tm3 0.000 0.474 0.750
Tm4 0.249 0.113 0.745
```

(3)
First-principles (PBE-GGA) data for a geometry-optimized Nd6Y3Er2Sc structure, as listed in Alexandria.

Final energy ... -5.27 eV/atom
Calculated formation energy ... 0.023 eV per atom

The structure in CIF format:
```
data_Nd6Y3Er2Sc
_chemical_formula_sum 'Nd12 Y6 Er4 Sc2'
_space_group_name_H-M_alt 'C 1 2/m 1'
_space_group_IT_number 12
_cell_length_a 6.243
_cell_length_b 10.810
_cell_length_c 11.755
_cell_angle_alpha 90.00
_cell_angle_beta 100.17
_cell_angle_gamma 90.00
loop_
_space_group_symop_operation_xyz
'x,y,z'
'-x,-y,-z'
'-x,y,-z'
'x,-y,z'
'x+1/2,y+1/2,z'
'-x+1/2,-y+1/2,-z'
'-x+1/2,y+1/2,-z'
'x+1/2,-y+1/2,z'
loop_
_atom_site_label
_atom_site_fract_x
_atom_site_fract_y
_atom_site_fract_z
Nd1 0.247 0.165 0.245
Nd2 0.249 0.000 0.754
Y1 0.000 0.167 0.500
Y2 0.000 0.500 0.500
Er1 0.000 0.333 0.000
Sc1 0.000 0.000 0.000
```

(4)
First-principles (PBE-GGA) data for a geometry-optimized Nd3Sm2Ho6Sc structure, as listed in Alexandria.

Final energy ... -4.77 eV/atom
Calculated formation energy ... 0.027 eV per atom

The structure in CIF format:
```
data_Nd3Sm2Ho6Sc
_chemical_formula_sum 'Nd6 Sm4 Ho12 Sc2'
_space_group_name_H-M_alt 'C 1 2/m 1'
_space_group_IT_number 12
_cell_length_a 6.170
_cell_length_b 10.685
_cell_length_c 11.773
_cell_angle_alpha 90.00
_cell_angle_beta 100.04
_cell_angle_gamma 90.00
loop_
_space_group_symop_operation_xyz
'x,y,z'
'-x,-y,-z'
'-x,y,-z'
'x,-y,z'
'x+1/2,y+1/2,z'
'-x+1/2,-y+1/2,-z'
'-x+1/2,y+1/2,-z'
'x+1/2,-y+1/2,z'
loop_
_atom_site_label
_atom_site_fract_x
_atom_site_fract_y
_atom_site_fract_z
Nd1 0.000 0.000 0.000
Nd2 0.000 0.333 0.000
Sm1 0.000 0.166 0.500
Ho1 0.247 0.335 0.746
Ho2 0.249 0.500 0.254
Sc1 0.000 0.500 0.500
```

(5)
First-principles (PBE-GGA) data for a geometry-optimized ErMgTlAg structure, as listed in Alexandria.

Final energy ... -3.12 eV/atom
Calculated formation energy ... -0.280 eV per atom

The structure in CIF format:
```
data_ErMgTlAg
_chemical_formula_sum 'Er4 Mg4 Tl4 Ag4'
_space_group_name_H-M_alt 'F -4 3 m'
_space_group_IT_number 216
_space_group_name_Hall 'F -4 2 3'
_cell_length_a 7.137
_cell_length_b 7.137
_cell_length_c 7.137
_cell_angle_alpha 90.00
_cell_angle_beta 90.00
_cell_angle_gamma 90.00
loop_
_atom_site_label
_atom_site_fract_x
_atom_site_fract_y
_atom_site_fract_z
Er1 0.000 0.000 0.000
Mg1 0.000 0.000 0.500
Tl1 0.250 0.250 0.750
Ag1 0.250 0.250 0.250
```

(6)
First-principles (PBE-GGA) data for a geometry-optimized Cr2P2Os structure, as listed in Alexandria.

Final energy ... -8.40 eV/atom
Calculated formation energy ... -0.143 eV per atom

The structure in CIF format:
```
data_Cr2P2Os
_chemical_formula_sum 'Cr4 P4 Os2'
_space_group_name_H-M_alt 'P 4/m b m'
_space_group_IT_number 127
_space_group_name_Hall '-P 4 2ab'
_cell_length_a 6.517
_cell_length_b 6.517
_cell_length_c 2.872
_cell_angle_alpha 90.00
_cell_angle_beta 90.00
_cell_angle_gamma 90.00
loop_
_atom_site_label
_atom_site_fract_x
_atom_site_fract_y
_atom_site_fract_z
Cr1 0.143 0.357 0.000
P1 0.154 0.654 0.500
Os1 0.000 0.000 0.500
```

(7)
First-principles (PBE-GGA) data for a geometry-optimized Ga2Cu2Re structure, as listed in Alexandria.

Final energy ... -5.17 eV/atom
ΔE to the lowest computed polymorph ... 0 kJ/mol of formula units
Calculated formation energy ... 0.174 eV per atom

The structure in CIF format:
```
data_Ga2Cu2Re
_chemical_formula_sum 'Ga4 Cu4 Re2'
_space_group_name_H-M_alt 'P 4/m b m'
_space_group_IT_number 127
_space_group_name_Hall '-P 4 2ab'
_cell_length_a 7.080
_cell_length_b 7.080
_cell_length_c 2.752
_cell_angle_alpha 90.00
_cell_angle_beta 90.00
_cell_angle_gamma 90.00
loop_
_atom_site_label
_atom_site_fract_x
_atom_site_fract_y
_atom_site_fract_z
Ga1 0.152 0.348 0.000
Cu1 0.146 0.646 0.500
Re1 0.000 0.000 0.000
```

(8)
First-principles (PBE-GGA) data for a geometry-optimized Ac2Ag2Pb structure, as listed in Alexandria.

Final energy ... -3.85 eV/atom
ΔE to the lowest computed polymorph ... 30 kJ/mol of formula units
Calculated formation energy ... -0.328 eV per atom

The structure in CIF format:
```
data_Ac2Ag2Pb
_chemical_formula_sum 'Ac8 Ag8 Pb4'
_space_group_name_H-M_alt 'C 1 2/m 1'
_space_group_IT_number 12
_cell_length_a 11.997
_cell_length_b 4.838
_cell_length_c 12.014
_cell_angle_alpha 90.00
_cell_angle_beta 116.64
_cell_angle_gamma 90.00
loop_
_space_group_symop_operation_xyz
'x,y,z'
'-x,-y,-z'
'-x,y,-z'
'x,-y,z'
'x+1/2,y+1/2,z'
'-x+1/2,-y+1/2,-z'
'-x+1/2,y+1/2,-z'
'x+1/2,-y+1/2,z'
loop_
_atom_site_label
_atom_site_fract_x
_atom_site_fract_y
_atom_site_fract_z
Ac1 0.019 0.000 0.342
Ac2 0.191 0.000 0.105
Ag1 0.030 0.500 0.895
Ag2 0.133 0.500 0.558
Pb1 0.222 0.500 0.336
```

(9)
First-principles (PBE-GGA) data for a geometry-optimized Sc4TlGaAg2 structure, as listed in Alexandria.

Final energy ... -4.93 eV/atom
Calculated formation energy ... -0.379 eV per atom

The structure in CIF format:
```
data_Sc4TlGaAg2
_chemical_formula_sum 'Sc12 Tl3 Ga3 Ag6'
_space_group_name_H-M_alt 'R -3 m'
_space_group_IT_number 166
_space_group_name_Hall '-R 3 2"'
_cell_length_a 4.8977
_cell_length_b 4.8977
_cell_length_c 23.9711
_cell_angle_alpha 90.00
_cell_angle_beta 90.00
_cell_angle_gamma 120.00
loop_
_atom_site_label
_atom_site_fract_x
_atom_site_fract_y
_atom_site_fract_z
Sc1 0.0000 0.0000 0.1208
Sc2 0.0000 0.0000 0.3712
Tl1 0.0000 0.0000 0.5000
Ga1 0.0000 0.0000 0.0000
Ag1 0.0000 0.0000 0.2495
```

(10)
First-principles (PBE-GGA) data for a geometry-optimized Sr2ScNi structure, as listed in Alexandria.

Final energy ... -3.78 eV/atom
ΔE to the lowest computed polymorph ... 26 kJ/mol of formula units
Calculated formation energy ... 0.092 eV per atom

The structure in CIF format:
```
data_Sr2ScNi
_chemical_formula_sum 'Sr4 Sc2 Ni2'
_space_group_name_H-M_alt 'I m m 2'
_space_group_IT_number 44
_cell_length_a 3.661
_cell_length_b 5.891
_cell_length_c 11.627
_cell_angle_alpha 90.00
_cell_angle_beta 90.00
_cell_angle_gamma 90.00
loop_
_space_group_symop_operation_xyz
'x,y,z'
'-x,-y,z'
'-x,y,z'
'x,-y,z'
'x+1/2,y+1/2,z+1/2'
'-x+1/2,-y+1/2,z+1/2'
'-x+1/2,y+1/2,z+1/2'
'x+1/2,-y+1/2,z+1/2'
loop_
_atom_site_label
_atom_site_fract_x
_atom_site_fract_y
_atom_site_fract_z
Sr1 0.000 0.000 0.000
Sr2 0.000 0.500 0.187
Sc1 0.000 0.500 0.825
Ni1 0.000 0.000 0.469
```

Total magnetization
In order: 0.719; 0.000; 0.000; 0.000; 0.000; 0.371; 0.000; 0.000; 0.000; 0.000
Unit: μB/atom